{
  "formula": "K3Ba2",
  "functional": "meta-GGA SCAN",
  "state": "PBEsol geometry",
  "lattice_angstrom": [[7.0311, 0.0000, 0.0000], [-3.5156, 6.0891, 0.0000], [0.0000, 0.0000, 9.0705]],
  "species": ["K", "K", "K", "Ba", "Ba"],
  "fractional_positions": [[0.0000, 0.0000, 0.0000], [0.3333, 0.6667, 0.3638], [0.6667, 0.3333, 0.6362], [0.3333, 0.6667, 0.8725], [0.6667, 0.3333, 0.1275]],
  "delta_e_f_mev_per_atom": 270,
  "e_tot_ev_per_atom": -20.548
}